Density functional theory data (PBE-GGA) for a relaxed structure of SrMg2Ag.

Properties
D(E_F) = 1.85 states/eV/f.u.
size of the total moment = 0.0 Bohr magnetons per cell
E = -2.0185 eV per atom
symmetry = Pm (6)

abc: 4.695 3.682 6.733
angles: 74.19 90.00 90.00
Fractional positions:
Ag1 0.500 0.920 0.784
Mg1 0.000 0.808 0.012
Mg2 0.500 0.231 0.165
Sr1 0.000 0.542 0.540


Density functional theory data (PBE-GGA) for a relaxed structure of Ba2Li16Hg.

Properties
D(E_F) = 10.36 states/eV/f.u.
size of the total moment = 0.0 Bohr magnetons per cell
E = -1.8599 eV per atom
symmetry = R3m (160)

abc: 7.824 7.824 7.824
angles: 83.41 83.41 83.41
Fractional positions:
Ba1 0.653 0.653 0.653
Ba2 0.349 0.349 0.349
Li1 0.725 0.999 0.276
Li2 0.999 0.276 0.725
Li3 0.276 0.725 0.999
Li4 0.999 0.725 0.276
Li5 0.725 0.276 0.999
Li6 0.276 0.999 0.725
Li7 0.339 0.863 0.339
Li8 0.863 0.339 0.339
Li9 0.339 0.339 0.863
Li10 0.666 0.130 0.666
Li11 0.130 0.666 0.666
Li12 0.666 0.666 0.130
Li13 0.996 0.511 0.996
Li14 0.511 0.996 0.996
Li15 0.996 0.996 0.511
Li16 0.090 0.090 0.090
Hg1 0.903 0.903 0.903


Density functional theory data (PBE-GGA) for a relaxed structure of CaCo2As2.

Properties
D(E_F) = 3.23 states/eV/f.u.
size of the total moment = 1.0 Bohr magnetons per cell
E = -5.2692 eV per atom
symmetry = P4/mbm (127)

abc: 7.214 7.214 3.004
angles: 90.00 90.00 90.00
Last column: magnetic moment on the atom in μB.
Fractional positions:
As1 0.154 0.654 0.500  -0.01
As2 0.654 0.846 0.500  -0.01
As3 0.846 0.346 0.500  -0.01
As4 0.346 0.154 0.500  -0.01
Co1 0.378 0.878 0.000  0.24
Co2 0.878 0.622 0.000  0.28
Co3 0.622 0.122 0.000  0.24
Co4 0.122 0.378 0.000  0.28
Ca1 0.000 0.000 0.000  -0.01
Ca2 0.500 0.500 0.000  -0.01